(1)
A geometry-optimized Tb8Dy6Y structure, computed with PBE.

Properties
symmetry	No. 147
ΔE to the lowest computed polymorph	0.044	eV per atom
E	-4.569	eV/atom
V	32.36	Å³ per atom
formation energy	2.6	eV/f.u.

a = 9.8329 Å, b = 9.8329 Å, c = 5.7978 Å
α = 90.00°, β = 90.00°, γ = 120.00°
With the nearest neighbours (Å) after each atom.
Fractional coordinates of all 15 atoms:
Tb: 0.0911 0.6235 0.2629  4 Dy 3.31-3.65, 4 Tb 3.51-3.70
Tb: 0.3333 0.6667 0.7746  3 Dy 3.45, 9 Tb 3.59-3.70
Tb: 0.3765 0.4676 0.2629  4 Dy 3.31-3.65, 4 Tb 3.51-3.70
Tb: 0.4676 0.0911 0.7371  4 Dy 3.31-3.65, 4 Tb 3.51-3.70
Tb: 0.5324 0.9089 0.2629  4 Dy 3.31-3.65, 4 Tb 3.51-3.70
Tb: 0.6235 0.5324 0.7371  4 Dy 3.31-3.65, 4 Tb 3.51-3.70
Tb: 0.6667 0.3333 0.2254  3 Dy 3.45, 9 Tb 3.59-3.70
Tb: 0.9089 0.3765 0.7371  4 Dy 3.31-3.65, 4 Tb 3.51-3.70
Dy: 0.0504 0.7757 0.7768  1 Y 2.96, 1 Tb 3.31
Dy: 0.2243 0.2747 0.7768  1 Y 2.96, 1 Tb 3.31
Dy: 0.2747 0.0504 0.2232  1 Y 2.96, 1 Tb 3.31
Dy: 0.7253 0.9496 0.7768  1 Y 2.96, 1 Tb 3.31
Dy: 0.7757 0.7253 0.2232  1 Y 2.96, 1 Tb 3.31
Dy: 0.9496 0.2243 0.2232  1 Y 2.96, 1 Tb 3.31
Y: 0.0000 0.0000 0.5000  6 Dy 2.96

=====

(2)
A geometry-optimized Tb5Dy4Y structure, computed with PBE.

Properties
symmetry	No. 79
E	-4.498	eV/atom
V	32.62	Å³ per atom
formation energy	3.0	eV/f.u.

a = 7.8700 Å, b = 7.8700 Å, c = 7.8700 Å
α = 99.09°, β = 99.09°, γ = 133.17°
With the nearest neighbours (Å) after each atom.
Fractional coordinates of all 10 atoms:
Tb: 0.0000 0.0000 0.0000  1 Y 2.88
Tb: 0.0353 0.4152 0.9165  4 Dy 3.22-3.50, 1 Tb 3.27, 1 Y 3.29
Tb: 0.1188 0.0353 0.6200  4 Dy 3.22-3.50, 1 Tb 3.27, 1 Y 3.29
Tb: 0.4152 0.4987 0.3800  4 Dy 3.22-3.50, 1 Tb 3.27, 1 Y 3.29
Tb: 0.4987 0.1188 0.0835  4 Dy 3.22-3.50, 1 Tb 3.27, 1 Y 3.29
Dy: 0.1150 0.7209 0.3001  4 Tb 3.22-3.50, 1 Dy 3.27
Dy: 0.4207 0.8148 0.6999  4 Tb 3.22-3.50, 1 Dy 3.27
Dy: 0.7209 0.4207 0.6059  4 Tb 3.22-3.50, 1 Dy 3.27
Dy: 0.8148 0.1150 0.3941  4 Tb 3.22-3.50, 1 Dy 3.27
Y: 0.5402 0.5402 0.0000  1 Tb 2.88